Entry 1:
Here is crystalline K2Pt2RhO6 at its relaxed geometry from Alexandria. Energies are from GGA-PBE.

Cell: 5.7715 9.5320 6.2311 Å, 90.00 107.61 90.00°
Last column: nearest neighbours and their distance in Å.
Space group C2/m (No. 12)
Symmetry-distinct sites (fractional):
1 K 0.0000 0.1698 0.0000 x4  6 O 2.73-2.75
2 Pt 0.0000 0.3347 0.5000 x4  6 O 2.07-2.19
3 Rh 0.0000 0.0000 0.5000 x2  6 O 2.09-2.11
4 O 0.2129 0.1688 0.6620 x8  2 Pt 2.07-2.19, 1 Rh 2.09
5 O 0.2263 0.5000 0.6603 x4  2 Pt 2.10, 1 Rh 2.11

The final energy is -121.1 eV/cell.

=====

Entry 2:
Here is crystalline KRu2PtO8 at its relaxed geometry from Alexandria. Energies are from GGA-PBE.

Cell: 5.1316 5.1316 8.6976 Å, 90.00 90.00 120.00°
Last column: nearest neighbours and their distance in Å.
Space group P-3 (No. 147)
Symmetry-distinct sites (fractional):
1 K 0.0000 0.0000 0.0000 x1  6 O 3.04
2 Ru 0.3333 0.6667 0.7199 x2  4 O 1.75-1.82
3 Pt 0.0000 0.0000 0.5000 x1  6 O 2.05
4 O 0.0155 0.3323 0.6378 x6  1 Ru 1.82
5 O 0.3333 0.6667 0.9212 x2  1 Ru 1.75

The final energy is -75.0 eV/cell.

=====

Entry 3:
Here is crystalline KSbPtO6 at its relaxed geometry from Alexandria. Energies are from GGA-PBE.

Cell: 5.3273 5.3273 6.0866 Å, 90.00 90.00 120.00°
Last column: nearest neighbours and their distance in Å.
Space group P312 (No. 149)
Symmetry-distinct sites (fractional):
1 K 0.0000 0.0000 0.0000 x1  6 O 2.78
2 Sb 0.3333 0.6667 0.5000 x1  6 O 2.03
3 Pt 0.6667 0.3333 0.5000 x1  6 O 1.99
4 O 0.3772 0.0065 0.6813 x6  1 Pt 1.99, 1 Sb 2.03

The final energy is -49.7 eV/cell.

=====

Entry 4:
Here is crystalline KSb2PtO8 at its relaxed geometry from Alexandria. Energies are from GGA-PBE.

Cell: 4.8280 6.5220 4.9445 Å, 90.00 93.59 90.00°
Last column: nearest neighbours and their distance in Å.
Space group P2/m (No. 10)
Symmetry-distinct sites (fractional):
1 K 0.0000 0.0000 0.0000 x1  6 O 2.39-2.40
2 Sb 0.5000 0.2479 0.5000 x2  6 O 1.98-2.21
3 Pt 0.0000 0.5000 0.0000 x1  6 O 1.99-2.12
4 O 0.2564 0.5000 0.6670 x2  1 Pt 2.12, 2 Sb 2.21
5 O 0.2613 0.2913 0.1643 x4  1 Sb 1.98, 1 Pt 1.99
6 O 0.2860 0.0000 0.6204 x2  2 Sb 2.03

The final energy is -65.9 eV/cell.

=====

Entry 5:
Here is crystalline K2ScPtO4 at its relaxed geometry from Alexandria. Energies are from GGA-PBE.

Cell: 6.2347 6.2347 6.9244 Å, 90.00 90.00 90.00°
Last column: nearest neighbours and their distance in Å.
Space group I-4 (No. 82)
Symmetry-distinct sites (fractional):
1 K 0.0000 0.0000 0.0000 x2  4 O 2.65
2 K 0.0000 0.5000 0.2500 x2  4 O 2.70
3 Sc 0.0000 0.0000 0.5000 x2  4 O 2.02
4 Pt 0.0000 0.5000 0.7500 x2  4 O 2.01
5 O 0.1280 0.7885 0.6882 x8  1 Pt 2.01, 1 Sc 2.02

The final energy is -95.6 eV/cell.

=====

Entry 6:
Here is crystalline K3Sc2PtO6 at its relaxed geometry from Alexandria. Energies are from GGA-PBE.

Cell: 5.8009 9.5661 6.4974 Å, 90.00 109.28 90.00°
Last column: nearest neighbours and their distance in Å.
Space group C2/m (No. 12)
Symmetry-distinct sites (fractional):
1 K 0.0000 0.0000 0.0000 x2  6 O 2.56-2.70
2 K 0.0000 0.3353 0.0000 x4  6 O 2.67-2.84
3 Sc 0.0000 0.1633 0.5000 x4  6 O 2.11-2.23
4 Pt 0.0000 0.5000 0.5000 x2  4 O 2.13
5 O 0.1947 0.0000 0.6997 x4  2 Sc 2.11
6 O 0.2258 0.3345 0.6734 x8  1 Pt 2.13, 2 Sc 2.17-2.23

The final energy is -152.8 eV/cell.

=====

- Number 6 is which compound?
  K3Sc2PtO6

=====

- final energy of number 3 (KSbPtO6)?
  -49.7 eV/cell

=====

Repeat the first record exactly.
Here is crystalline K2Pt2RhO6 at its relaxed geometry from Alexandria. Energies are from GGA-PBE.

Cell: 5.7715 9.5320 6.2311 Å, 90.00 107.61 90.00°
Last column: nearest neighbours and their distance in Å.
Space group C2/m (No. 12)
Symmetry-distinct sites (fractional):
1 K 0.0000 0.1698 0.0000 x4  6 O 2.73-2.75
2 Pt 0.0000 0.3347 0.5000 x4  6 O 2.07-2.19
3 Rh 0.0000 0.0000 0.5000 x2  6 O 2.09-2.11
4 O 0.2129 0.1688 0.6620 x8  2 Pt 2.07-2.19, 1 Rh 2.09
5 O 0.2263 0.5000 0.6603 x4  2 Pt 2.10, 1 Rh 2.11

The final energy is -121.1 eV/cell.